# 1
CsRbHgCl4: relaxed, PBE-GGA. Values from VASP.

The structure in Quantum ESPRESSO input format:
```
&SYSTEM
  ibrav = 0, nat = 14, ntyp = 4
/
ATOMIC_SPECIES
Cs 132.91 Cs.upf
Rb 85.47 Rb.upf
Hg 200.59 Hg.upf
Cl 35.45 Cl.upf
CELL_PARAMETERS angstrom
7.781 0.000 0.000
0.000 7.517 0.000
-2.990 0.000 9.123
ATOMIC_POSITIONS crystal
Cs 0.232 0.250 0.435
Cs 0.768 0.750 0.565
Rb 0.283 0.250 0.945
Rb 0.717 0.750 0.055
Hg 0.264 0.750 0.188
Hg 0.736 0.250 0.812
Cl 0.072 0.750 0.924
Cl 0.076 0.750 0.360
Cl 0.494 0.004 0.245
Cl 0.494 0.496 0.245
Cl 0.506 0.504 0.755
Cl 0.506 0.996 0.755
Cl 0.924 0.250 0.640
Cl 0.928 0.250 0.076
```

Summary:
Mass density ... 3491 kg/m3
Formation energy (no corrections) ... -1.42 eV/atom
SG ... P2_1/m (11)

=====

# 2
CaCN: relaxed, PBE-GGA. Values from VASP.

The structure in Quantum ESPRESSO input format:
```
&SYSTEM
  ibrav = 0, nat = 3, ntyp = 3
/
ATOMIC_SPECIES
Ca 40.08 Ca.upf
C 12.01 C.upf
N 14.01 N.upf
CELL_PARAMETERS angstrom
-1.271 1.868 3.989
1.271 -1.868 3.989
1.271 1.868 -3.989
ATOMIC_POSITIONS crystal
Ca 0.000 0.000 0.000
C 0.642 0.642 0.000
N 0.736 0.236 0.500
```

Summary:
Mass density ... 2898 kg/m3
Formation energy (no corrections) ... 0.16 eV/atom
Energy relative to the lowest polymorph listed for this composition ... 0.696 eV/atom
SG ... Imm2 (44)

=====

# 3
VPdAu2: relaxed, PBE-GGA. Values from VASP.

The structure in Quantum ESPRESSO input format:
```
&SYSTEM
  ibrav = 0, nat = 4, ntyp = 3
/
ATOMIC_SPECIES
V 50.94 V.upf
Pd 106.42 Pd.upf
Au 196.97 Au.upf
CELL_PARAMETERS angstrom
2.852 0.000 0.000
0.000 2.852 0.000
0.000 0.000 7.910
ATOMIC_POSITIONS crystal
V 0.000 0.000 0.000
Pd 0.000 0.000 0.500
Au 0.500 0.500 0.240
Au 0.500 0.500 0.760
```

Summary:
Mass density ... 14229 kg/m3
Energy relative to the elements ... -44 meV per atom
Energy relative to the lowest polymorph listed for this composition ... 0.016 eV/atom
SG ... P4/mmm (123)

=====

# 4
TiBi2P: relaxed, PBE-GGA. Values from VASP.

The structure in Quantum ESPRESSO input format:
```
&SYSTEM
  ibrav = 0, nat = 8, ntyp = 3
/
ATOMIC_SPECIES
Ti 47.87 Ti.upf
Bi 208.98 Bi.upf
P 30.97 P.upf
CELL_PARAMETERS angstrom
-3.210 3.210 6.492
3.210 -3.210 6.492
3.210 3.210 -6.492
ATOMIC_POSITIONS crystal
Ti 0.000 0.000 0.000
Ti 0.750 0.250 0.500
Bi 0.129 0.625 0.004
Bi 0.375 0.379 0.504
Bi 0.621 0.125 0.996
Bi 0.875 0.871 0.496
P 0.250 0.750 0.500
P 0.500 0.500 0.000
```

Summary:
Mass density ... 6168 kg/m3
Energy relative to the elements ... 529 meV per atom
SG ... I-42d (122)

=====

# 5
LiMgInCl4: relaxed, PBE-GGA. Values from VASP.

The structure in Quantum ESPRESSO input format:
```
&SYSTEM
  ibrav = 0, nat = 14, ntyp = 4
/
ATOMIC_SPECIES
Li 6.94 Li.upf
Mg 24.30 Mg.upf
In 114.82 In.upf
Cl 35.45 Cl.upf
CELL_PARAMETERS angstrom
6.515 0.000 0.000
0.000 7.095 0.000
-2.008 0.000 8.349
ATOMIC_POSITIONS crystal
Li 0.133 0.250 0.487
Li 0.867 0.750 0.513
Mg 0.257 0.750 0.323
Mg 0.743 0.250 0.677
In 0.235 0.250 0.032
In 0.765 0.750 0.968
Cl 0.009 0.012 0.700
Cl 0.009 0.488 0.700
Cl 0.358 0.750 0.079
Cl 0.482 0.250 0.440
Cl 0.518 0.750 0.560
Cl 0.642 0.250 0.921
Cl 0.991 0.512 0.300
Cl 0.991 0.988 0.300
```

Summary:
Mass density ... 2477 kg/m3
Formation energy (no corrections) ... -1.48 eV/atom
SG ... P2_1/m (11)

=====

# 6
DyAl2Fe6: relaxed, PBE-GGA. Values from VASP.

The structure in Quantum ESPRESSO input format:
```
&SYSTEM
  ibrav = 0, nat = 9, ntyp = 3
/
ATOMIC_SPECIES
Dy 162.50 Dy.upf
Al 26.98 Al.upf
Fe 55.84 Fe.upf
CELL_PARAMETERS angstrom
-2.044 2.757 5.789
2.044 -2.757 5.789
2.044 2.757 -5.789
ATOMIC_POSITIONS crystal
Dy 0.000 0.000 0.000
Al 0.384 0.884 0.500
Al 0.616 0.116 0.500
Fe 0.035 0.303 0.731
Fe 0.313 0.500 0.813
Fe 0.428 0.697 0.731
Fe 0.572 0.303 0.269
Fe 0.687 0.500 0.187
Fe 0.965 0.697 0.269
```

Summary:
Mass density ... 7019 kg/m3
Energy relative to the elements ... 103 meV per atom
SG ... Immm (71)